Record 1
This record from the Alexandria database describes crystalline NaAgAu2Cl6 at its relaxed geometry. The functional is PBE.

Properties
- magnetic moment (Bohr magnetons per cell) = 0.000
- ΔE_f (raw) (eV/atom) = -0.512

Unit cell a=7.5488 b=7.1633 c=11.7424 alpha=90.00 beta=122.62 gamma=90.00
Space group P2_1/c (No. 14)
Symmetry-distinct sites (fractional):
1 Na 0.0000 0.0000 0.0000
2 Ag 0.5000 0.0000 0.5000
3 Au 0.1840 0.0549 0.6974
4 Cl 0.1168 0.1519 0.4731
5 Cl 0.2283 0.6188 0.3841
6 Cl 0.4069 0.1662 0.2869

Record 2
This record from the Alexandria database describes crystalline AgAuClO2 at its relaxed geometry. The functional is PBE.

Properties
- magnetic moment (Bohr magnetons per cell) = 1.419
- ΔE_f (raw) (eV/atom) = 0.542

Unit cell a=3.9049 b=3.9049 c=6.3374 alpha=90.00 beta=90.00 gamma=90.00
Space group P4/mmm (No. 123)
Symmetry-distinct sites (fractional):
1 Ag 0.0000 0.0000 0.0000
2 Au 0.0000 0.0000 0.5000
3 Cl 0.5000 0.5000 0.5000
4 O 0.0000 0.5000 0.0000

Record 3
This record from the Alexandria database describes crystalline AgP2AuCl at its relaxed geometry. The functional is PBE.

Properties
- magnetic moment (Bohr magnetons per cell) = 1.518
- distance to the lowest polymorph of the same formula (eV per atom) = 0.198
- ΔE_f (raw) (eV/atom) = 1.047

Unit cell a=4.8783 b=4.8783 c=4.8961 alpha=90.00 beta=90.00 gamma=90.00
Space group P4/mmm (No. 123)
Symmetry-distinct sites (fractional):
1 Ag 0.0000 0.0000 0.0000
2 P 0.0000 0.5000 0.0000
3 Au 0.5000 0.5000 0.5000
4 Cl 0.0000 0.0000 0.5000